Computed, not measured: TlCoPO4 after structural relaxation at the PBE+U level of DFT.

Lattice parameters (Å, degrees): 5.1332 5.4864 8.7691 90.00 120.26 90.00
Last column: nearest neighbours and their distance in Å.
Atoms (fractional coordinates):
1 O 0.0303 0.0256 0.6623  1 P 1.57
2 O 0.7006 0.2500 0.7713  1 P 1.55
3 P 0.1735 0.7500 0.3560  4 O 1.55-1.57
4 O 0.0303 0.4744 0.6623  1 P 1.57
5 Tl 0.5849 0.7500 0.8689  1 O 2.57
6 Co 0.7719 0.7500 0.4664  6 O 2.05-2.27
7 P 0.8265 0.2500 0.6440  4 O 1.55-1.57
8 Tl 0.4151 0.2500 0.1311  1 O 2.57
9 O 0.9697 0.5256 0.3377  1 P 1.57
10 Co 0.2281 0.2500 0.5336  6 O 2.05-2.27
11 O 0.4591 0.7500 0.5459  1 P 1.57
12 O 0.9697 0.9744 0.3377  1 P 1.57
13 O 0.2994 0.7500 0.2287  1 P 1.55
14 O 0.5409 0.2500 0.4541  1 P 1.57

* total energy: -88.32 eV/cell
* volume: 107 Å³/f.u.
* total magnetic moment: 0.435 μB per atom
* crystal system: monoclinic
* SG: P2_1/m, No. 11